The following is a DFT calculation (GGA-PBEsol) of a relaxed structure of SbMoSe2.

Summary:
Energy relative to the elements, uncorrected = 11.51 kcal/mol of atoms
Raw total energy = -5.507 eV/atom

The structure in POSCAR format:
```
SbMoSe2
1.0
0.000 3.333 3.333
3.333 0.000 3.333
3.333 3.333 0.000
Sb Mo Se
1 1 2
Direct
0.000 0.000 0.000
0.250 0.250 0.250
0.500 0.500 0.500
0.750 0.750 0.750
```

The following is a DFT calculation (GGA-PBEsol) of a relaxed structure of K2ScCu.

Summary:
Raw total energy = -2.559 eV/atom
ΔE_f = 0.74 eV/atom
E above lowest polymorph = 0.0 meV per atom

The structure in POSCAR format:
```
K2ScCu
1.0
4.282 0.000 0.000
0.000 4.410 0.000
0.000 0.000 6.026
K Sc Cu
2 1 1
Direct
0.000 0.000 0.000
0.500 0.500 0.000
0.000 0.500 0.500
0.500 0.000 0.500
```

The following is a DFT calculation (GGA-PBEsol) of a relaxed structure of HfTl3Pt.

Summary:
Raw total energy = -4.406 eV/atom
ΔE_f = 0.67 eV/atom

The structure in POSCAR format:
```
HfTl3Pt
1.0
5.140 0.000 0.000
0.000 5.140 0.000
0.000 0.000 5.140
Hf Tl Pt
1 3 1
Direct
0.000 0.000 0.000
0.000 0.500 0.500
0.500 0.000 0.500
0.500 0.500 0.000
0.500 0.500 0.500
```

The following is a DFT calculation (GGA-PBEsol) of a relaxed structure of BaHg2Mo.

Summary:
Raw total energy = -3.204 eV/atom
ΔE_f = 0.56 eV/atom

The structure in POSCAR format:
```
BaHg2Mo
1.0
3.415 -4.319 0.000
3.415 4.319 0.000
0.000 0.000 3.103
Ba Hg Mo
1 2 1
Direct
0.000 0.000 0.000
0.000 0.500 0.500
0.500 0.000 0.500
0.500 0.500 0.000
```

The following is a DFT calculation (GGA-PBEsol) of a relaxed structure of YScPt.

Summary:
Raw total energy = -7.556 eV/atom
ΔE_f = -0.76 eV/atom

The structure in POSCAR format:
```
YScPt
1.0
-1.688 1.688 5.839
1.688 -1.688 5.839
1.688 1.688 -5.839
Y Sc Pt
1 1 1
Direct
0.000 0.000 0.000
0.725 0.725 0.000
0.343 0.343 0.000
```

The following is a DFT calculation (GGA-PBEsol) of a relaxed structure of RePtAu2.

Summary:
Raw total energy = -6.795 eV/atom
ΔE_f = 0.24 eV/atom

The structure in POSCAR format:
```
RePtAu2
1.0
1.401 0.809 9.195
-1.401 0.809 9.195
0.000 -1.618 9.195
Re Pt Au
1 1 2
Direct
0.000 0.000 0.000
0.500 0.500 0.500
0.251 0.251 0.251
0.749 0.749 0.749
```

Copy entry 3 word for word.
The following is a DFT calculation (GGA-PBEsol) of a relaxed structure of HfTl3Pt.

Summary:
Raw total energy = -4.406 eV/atom
ΔE_f = 0.67 eV/atom

The structure in POSCAR format:
```
HfTl3Pt
1.0
5.140 0.000 0.000
0.000 5.140 0.000
0.000 0.000 5.140
Hf Tl Pt
1 3 1
Direct
0.000 0.000 0.000
0.000 0.500 0.500
0.500 0.000 0.500
0.500 0.500 0.000
0.500 0.500 0.500
```